[1]
ReIr4Rh3 | GGA-PBE | relaxed

```
data_ReIr4Rh3
_symmetry_space_group_name_H-M 'P 1'
_symmetry_Int_Tables_number 1
_symmetry_space_group_name_Hall 'P 1'
_cell_length_a 3.867
_cell_length_b 4.731
_cell_length_c 7.225
_cell_angle_alpha 89.97
_cell_angle_beta 74.48
_cell_angle_gamma 65.88
loop_
_atom_site_label
_atom_site_type_symbol
_atom_site_fract_x
_atom_site_fract_y
_atom_site_fract_z
Re1 Re 0.000 0.000 0.000
Ir1 Ir 0.876 0.876 0.372
Ir2 Ir 0.124 0.124 0.628
Ir3 Ir 0.375 0.372 0.878
Ir4 Ir 0.625 0.628 0.122
Rh1 Rh 0.746 0.756 0.752
Rh2 Rh 0.254 0.244 0.248
Rh3 Rh 0.500 0.500 0.500
```

ΔH_f (0 K), eV per atom: -0.076
Density of states at the Fermi level, states/eV per atom: 1.122
Relative energy among the computed polymorphs, eV per atom: 0.000
Uncorrected energy, eV per atom: -8.82
Theoretical density, g/cm3: 18.20
Crystal system: monoclinic

=====

[2]
K2RePt | GGA-PBE | relaxed

```
data_K2RePt
_symmetry_space_group_name_H-M 'P 1'
_symmetry_Int_Tables_number 1
_symmetry_space_group_name_Hall 'P 1'
_cell_length_a 2.756
_cell_length_b 2.756
_cell_length_c 11.104
_cell_angle_alpha 90.00
_cell_angle_beta 90.00
_cell_angle_gamma 90.00
loop_
_atom_site_label
_atom_site_type_symbol
_atom_site_fract_x
_atom_site_fract_y
_atom_site_fract_z
K1 K 0.000 0.000 0.012
K2 K 0.000 0.000 0.488
Pt1 Pt 0.500 0.500 0.250
Re1 Re 0.500 0.500 0.750
```

ΔH_f (0 K), eV per atom: 0.894
Density of states at the Fermi level, states/eV per atom: 0.677
Relative energy among the computed polymorphs, eV per atom: 0.399
Uncorrected energy, eV per atom: -4.28
Theoretical density, g/cm3: 9.05
Crystal system: tetragonal

=====

[3]
Sm2Ho4O | GGA-PBE | relaxed

```
data_Sm2Ho4O
_symmetry_space_group_name_H-M 'P 1'
_symmetry_Int_Tables_number 1
_symmetry_space_group_name_Hall 'P 1'
_cell_length_a 4.767
_cell_length_b 4.767
_cell_length_c 9.433
_cell_angle_alpha 75.36
_cell_angle_beta 75.36
_cell_angle_gamma 90.00
loop_
_atom_site_label
_atom_site_type_symbol
_atom_site_fract_x
_atom_site_fract_y
_atom_site_fract_z
O1 O 0.000 0.000 0.000
Ho1 Ho 0.134 0.134 0.733
Ho2 Ho 0.866 0.866 0.267
Ho3 Ho 0.000 0.500 0.000
Ho4 Ho 0.500 0.000 0.000
Sm1 Sm 0.334 0.334 0.331
Sm2 Sm 0.666 0.666 0.669
```

Raw formation energy, eV/atom: -0.65
Density of states at the Fermi level, states/eV per atom: 1.225
Uncorrected energy, eV per atom: -5.33
Theoretical density, g/cm3: 8.10
Crystal system: tetragonal

=====

[4]
RbNaTl2Pd | GGA-PBE | relaxed

```
data_RbNaTl2Pd
_symmetry_space_group_name_H-M 'P 1'
_symmetry_Int_Tables_number 1
_symmetry_space_group_name_Hall 'P 1'
_cell_length_a 5.393
_cell_length_b 5.741
_cell_length_c 5.393
_cell_angle_alpha 90.00
_cell_angle_beta 90.00
_cell_angle_gamma 90.00
loop_
_atom_site_label
_atom_site_type_symbol
_atom_site_fract_x
_atom_site_fract_y
_atom_site_fract_z
Na1 Na 0.000 0.500 0.000
Tl1 Tl 0.000 0.000 0.500
Tl2 Tl 0.500 0.000 0.000
Rb1 Rb 0.500 0.500 0.500
Pd1 Pd 0.000 0.000 0.000
```

ΔH_f (0 K), eV per atom: -0.131
Density of states at the Fermi level, states/eV per atom: 0.382
Relative energy among the computed polymorphs, eV per atom: 0.000
Uncorrected energy, eV per atom: -2.57
Theoretical density, g/cm3: 6.20
Crystal system: tetragonal

=====

[5]
ErRhN | GGA-PBE | relaxed

```
data_ErRhN
_symmetry_space_group_name_H-M 'P 1'
_symmetry_Int_Tables_number 1
_symmetry_space_group_name_Hall 'P 1'
_cell_length_a 4.591
_cell_length_b 4.591
_cell_length_c 3.814
_cell_angle_alpha 90.00
_cell_angle_beta 90.00
_cell_angle_gamma 120.00
loop_
_atom_site_label
_atom_site_type_symbol
_atom_site_fract_x
_atom_site_fract_y
_atom_site_fract_z
Er1 Er 0.333 0.667 0.500
N1 N 0.667 0.333 0.000
Rh1 Rh 0.667 0.333 0.500
```

Raw formation energy, eV/atom: 0.16
Density of states at the Fermi level, states/eV per atom: 0.701
Uncorrected energy, eV per atom: -6.59
Theoretical density, g/cm3: 6.78
Crystal system: hexagonal

=====

[6]
Pr2Ge3BiPd4 | GGA-PBE | relaxed

```
data_Pr2Ge3BiPd4
_symmetry_space_group_name_H-M 'P 1'
_symmetry_Int_Tables_number 1
_symmetry_space_group_name_Hall 'P 1'
_cell_length_a 4.416
_cell_length_b 4.416
_cell_length_c 10.729
_cell_angle_alpha 90.00
_cell_angle_beta 90.00
_cell_angle_gamma 90.00
loop_
_atom_site_label
_atom_site_type_symbol
_atom_site_fract_x
_atom_site_fract_y
_atom_site_fract_z
Pr1 Pr 0.500 0.000 0.230
Pr2 Pr 0.000 0.500 0.770
Ge1 Ge 0.000 0.000 0.500
Ge2 Ge 0.500 0.000 0.880
Ge3 Ge 0.000 0.500 0.120
Bi1 Bi 0.500 0.500 0.500
Pd1 Pd 0.500 0.500 0.000
Pd2 Pd 0.000 0.000 0.000
Pd3 Pd 0.500 0.000 0.652
Pd4 Pd 0.000 0.500 0.348
```

ΔH_f (0 K), eV per atom: -0.736
Density of states at the Fermi level, states/eV per atom: 0.551
Uncorrected energy, eV per atom: -5.54
Theoretical density, g/cm3: 9.00
Crystal system: tetragonal

=====

[7]
CaNbZn2 | GGA-PBE | relaxed

```
data_CaNbZn2
_symmetry_space_group_name_H-M 'P 1'
_symmetry_Int_Tables_number 1
_symmetry_space_group_name_Hall 'P 1'
_cell_length_a 4.579
_cell_length_b 4.579
_cell_length_c 10.091
_cell_angle_alpha 76.89
_cell_angle_beta 76.89
_cell_angle_gamma 90.00
loop_
_atom_site_label
_atom_site_type_symbol
_atom_site_fract_x
_atom_site_fract_y
_atom_site_fract_z
Nb1 Nb 0.000 0.000 0.000
Nb2 Nb 0.750 0.250 0.500
Ca1 Ca 0.500 0.500 0.000
Ca2 Ca 0.250 0.750 0.500
Zn1 Zn 0.750 0.125 0.250
Zn2 Zn 0.000 0.625 0.250
Zn3 Zn 0.375 0.250 0.750
Zn4 Zn 0.875 0.000 0.750
```

ΔH_f (0 K), eV per atom: 0.639
Density of states at the Fermi level, states/eV per atom: 0.952
Uncorrected energy, eV per atom: -3.02
Theoretical density, g/cm3: 4.37
Crystal system: tetragonal

=====

[8]
Ti2SbPt2 | GGA-PBE | relaxed

```
data_Ti2SbPt2
_symmetry_space_group_name_H-M 'P 1'
_symmetry_Int_Tables_number 1
_symmetry_space_group_name_Hall 'P 1'
_cell_length_a 7.567
_cell_length_b 7.567
_cell_length_c 3.149
_cell_angle_alpha 90.00
_cell_angle_beta 90.00
_cell_angle_gamma 90.00
loop_
_atom_site_label
_atom_site_type_symbol
_atom_site_fract_x
_atom_site_fract_y
_atom_site_fract_z
Sb1 Sb 0.000 0.000 0.000
Sb2 Sb 0.500 0.500 0.000
Pt1 Pt 0.132 0.632 0.500
Pt2 Pt 0.632 0.868 0.500
Pt3 Pt 0.868 0.368 0.500
Pt4 Pt 0.368 0.132 0.500
Ti1 Ti 0.341 0.841 0.000
Ti2 Ti 0.841 0.659 0.000
Ti3 Ti 0.659 0.159 0.000
Ti4 Ti 0.159 0.341 0.000
```

Raw formation energy, eV/atom: -0.58
Density of states at the Fermi level, states/eV per atom: 0.864
Relative energy among the computed polymorphs, eV per atom: 0.112
Uncorrected energy, eV per atom: -6.98
Theoretical density, g/cm3: 11.19
Crystal system: tetragonal

=====

[9]
Na5Zn2Bi5 | GGA-PBE | relaxed

```
data_Na5Zn2Bi5
_symmetry_space_group_name_H-M 'P 1'
_symmetry_Int_Tables_number 1
_symmetry_space_group_name_Hall 'P 1'
_cell_length_a 5.318
_cell_length_b 6.118
_cell_length_c 12.584
_cell_angle_alpha 96.71
_cell_angle_beta 90.00
_cell_angle_gamma 115.76
loop_
_atom_site_label
_atom_site_type_symbol
_atom_site_fract_x
_atom_site_fract_y
_atom_site_fract_z
Na1 Na 0.500 0.000 0.500
Na2 Na 0.653 0.306 0.064
Na3 Na 0.763 0.525 0.382
Na4 Na 0.237 0.475 0.618
Na5 Na 0.347 0.694 0.936
Zn1 Zn 0.088 0.176 0.800
Zn2 Zn 0.912 0.824 0.200
Bi1 Bi 0.093 0.186 0.374
Bi2 Bi 0.729 0.459 0.803
Bi3 Bi 0.271 0.541 0.197
Bi4 Bi 0.907 0.814 0.626
Bi5 Bi 0.000 0.000 0.000
```

ΔH_f (0 K), eV per atom: -0.156
Density of states at the Fermi level, states/eV per atom: 0.185
Relative energy among the computed polymorphs, eV per atom: 0.034
Uncorrected energy, eV per atom: -2.54
Theoretical density, g/cm3: 5.86
Crystal system: monoclinic

=====

[10]
BaScGaS4 | GGA-PBE | relaxed

```
data_BaScGaS4
_symmetry_space_group_name_H-M 'P 1'
_symmetry_Int_Tables_number 1
_symmetry_space_group_name_Hall 'P 1'
_cell_length_a 6.384
_cell_length_b 6.718
_cell_length_c 8.384
_cell_angle_alpha 90.00
_cell_angle_beta 107.69
_cell_angle_gamma 90.00
loop_
_atom_site_label
_atom_site_type_symbol
_atom_site_fract_x
_atom_site_fract_y
_atom_site_fract_z
Ba1 Ba 0.755 0.750 0.944
Ba2 Ba 0.245 0.250 0.056
Sc1 Sc 0.790 0.750 0.451
Sc2 Sc 0.210 0.250 0.549
Ga1 Ga 0.239 0.750 0.337
Ga2 Ga 0.761 0.250 0.663
S1 S 0.012 0.505 0.704
S2 S 0.988 0.005 0.296
S3 S 0.988 0.495 0.296
S4 S 0.012 0.995 0.704
S5 S 0.437 0.750 0.155
S6 S 0.563 0.250 0.845
S7 S 0.488 0.750 0.588
S8 S 0.512 0.250 0.412
```

Raw formation energy, eV/atom: -1.48
Uncorrected energy, eV per atom: -5.45
Theoretical density, g/cm3: 3.69
Crystal system: monoclinic

=====

[11]
Nb3GeAu | GGA-PBE | relaxed

```
data_Nb3GeAu
_symmetry_space_group_name_H-M 'P 1'
_symmetry_Int_Tables_number 1
_symmetry_space_group_name_Hall 'P 1'
_cell_length_a 4.737
_cell_length_b 4.737
_cell_length_c 4.737
_cell_angle_alpha 90.00
_cell_angle_beta 90.00
_cell_angle_gamma 90.00
loop_
_atom_site_label
_atom_site_type_symbol
_atom_site_fract_x
_atom_site_fract_y
_atom_site_fract_z
Nb1 Nb 0.000 0.500 0.000
Nb2 Nb 0.000 0.000 0.500
Nb3 Nb 0.500 0.000 0.000
Au1 Au 0.500 0.500 0.500
Ge1 Ge 0.000 0.000 0.000
```

ΔH_f (0 K), eV per atom: 0.815
Density of states at the Fermi level, states/eV per atom: 0.518
Relative energy among the computed polymorphs, eV per atom: 0.000
Uncorrected energy, eV per atom: -6.81
Theoretical density, g/cm3: 8.57
Crystal system: cubic

=====

[12]
Ta2Ni | GGA-PBE | relaxed

```
data_Ta2Ni
_symmetry_space_group_name_H-M 'P 1'
_symmetry_Int_Tables_number 1
_symmetry_space_group_name_Hall 'P 1'
_cell_length_a 4.210
_cell_length_b 4.210
_cell_length_c 4.210
_cell_angle_alpha 60.00
_cell_angle_beta 60.00
_cell_angle_gamma 60.00
loop_
_atom_site_label
_atom_site_type_symbol
_atom_site_fract_x
_atom_site_fract_y
_atom_site_fract_z
Ni1 Ni 0.000 0.000 0.000
Ta1 Ta 0.750 0.750 0.750
Ta2 Ta 0.250 0.250 0.250
```

ΔH_f (0 K), eV per atom: 0.324
Density of states at the Fermi level, states/eV per atom: 1.288
Uncorrected energy, eV per atom: -9.50
Theoretical density, g/cm3: 13.24
Crystal system: cubic

=====

> Look up the theoretical density of the eighth one.

11.19 g/cm3

=====

Please write out number 3 again, unchanged.
Sm2Ho4O | GGA-PBE | relaxed

```
data_Sm2Ho4O
_symmetry_space_group_name_H-M 'P 1'
_symmetry_Int_Tables_number 1
_symmetry_space_group_name_Hall 'P 1'
_cell_length_a 4.767
_cell_length_b 4.767
_cell_length_c 9.433
_cell_angle_alpha 75.36
_cell_angle_beta 75.36
_cell_angle_gamma 90.00
loop_
_atom_site_label
_atom_site_type_symbol
_atom_site_fract_x
_atom_site_fract_y
_atom_site_fract_z
O1 O 0.000 0.000 0.000
Ho1 Ho 0.134 0.134 0.733
Ho2 Ho 0.866 0.866 0.267
Ho3 Ho 0.000 0.500 0.000
Ho4 Ho 0.500 0.000 0.000
Sm1 Sm 0.334 0.334 0.331
Sm2 Sm 0.666 0.666 0.669
```

Raw formation energy, eV/atom: -0.65
Density of states at the Fermi level, states/eV per atom: 1.225
Uncorrected energy, eV per atom: -5.33
Theoretical density, g/cm3: 8.10
Crystal system: tetragonal

=====

Copy entry 6 word for word.
Pr2Ge3BiPd4 | GGA-PBE | relaxed

```
data_Pr2Ge3BiPd4
_symmetry_space_group_name_H-M 'P 1'
_symmetry_Int_Tables_number 1
_symmetry_space_group_name_Hall 'P 1'
_cell_length_a 4.416
_cell_length_b 4.416
_cell_length_c 10.729
_cell_angle_alpha 90.00
_cell_angle_beta 90.00
_cell_angle_gamma 90.00
loop_
_atom_site_label
_atom_site_type_symbol
_atom_site_fract_x
_atom_site_fract_y
_atom_site_fract_z
Pr1 Pr 0.500 0.000 0.230
Pr2 Pr 0.000 0.500 0.770
Ge1 Ge 0.000 0.000 0.500
Ge2 Ge 0.500 0.000 0.880
Ge3 Ge 0.000 0.500 0.120
Bi1 Bi 0.500 0.500 0.500
Pd1 Pd 0.500 0.500 0.000
Pd2 Pd 0.000 0.000 0.000
Pd3 Pd 0.500 0.000 0.652
Pd4 Pd 0.000 0.500 0.348
```

ΔH_f (0 K), eV per atom: -0.736
Density of states at the Fermi level, states/eV per atom: 0.551
Uncorrected energy, eV per atom: -5.54
Theoretical density, g/cm3: 9.00
Crystal system: tetragonal